H2PbBrO | Alexandria | PBE | relaxed; electronic total energy = -3.905 eV/atom; ρ = 5.1 g/cm³; magnetization = 0.000 μB per formula unit; calculated volume = 19.8 Å³/atom
1.0
5.5432 0.0000 0.0000
-2.7716 5.4616 0.0000
0.0000 0.0000 6.5267
H Pb O Br
4 2 2 2
Cartesian
0.0000 0.9317 2.9705
2.7716 4.5298 6.2339
2.7716 4.5298 3.5562
0.0000 0.9317 0.2928
0.0000 5.3400 4.8950
2.7716 0.1216 1.6317
0.0000 0.0000 0.0000
0.0000 0.0000 3.2633
2.7716 2.7776 4.8950
0.0000 2.6839 1.6317